1.
First-principles (PBE) data for crystalline KBiIr2W at its relaxed geometry, as listed in the Alexandria database.

Structure (CIF):
```
data_KBiIr2W
_cell_length_a 4.911
_cell_length_b 4.911
_cell_length_c 5.372
_cell_angle_alpha 90.00
_cell_angle_beta 90.00
_cell_angle_gamma 90.00
_space_group_name_H-M_alt 'P 4/m m m'
_space_group_IT_number 123
_space_group_name_Hall '-P 4 2'
loop_
_atom_site_label
_atom_site_type_symbol
_atom_site_fract_x
_atom_site_fract_y
_atom_site_fract_z
K1 K 0.000 0.000 0.000
Bi1 Bi 0.500 0.500 0.000
Ir1 Ir 0.000 0.500 0.500
W1 W 0.500 0.500 0.500
```

Results
M_tot = 0.000 μB per formula unit
Energy relative to the elements = 1.023 eV per atom
VASP energy = -6.108 eV per atom


2.
First-principles (PBE) data for crystalline Pm2SeF4 at its relaxed geometry, as listed in the Alexandria database.

Structure (CIF):
```
data_Pm2SeF4
_cell_length_a 4.0902
_cell_length_b 4.0902
_cell_length_c 22.9061
_cell_angle_alpha 90.00
_cell_angle_beta 90.00
_cell_angle_gamma 120.00
_space_group_name_H-M_alt 'R -3 m'
_space_group_IT_number 166
_space_group_name_Hall '-R 3 2"'
loop_
_atom_site_label
_atom_site_type_symbol
_atom_site_fract_x
_atom_site_fract_y
_atom_site_fract_z
Pm1 Pm 0.0000 0.0000 0.2428
Se1 Se 0.0000 0.0000 0.0000
F1 F 0.0000 0.0000 0.1394
F2 F 0.0000 0.0000 0.4301
```

Results
M_tot = 0.000 μB per formula unit
E_form (uncorrected) = -3.591 eV/atom
VASP energy = -6.515 eV per atom


3.
First-principles (PBE) data for crystalline HoH8Ir2 at its relaxed geometry, as listed in the Alexandria database.

Structure (CIF):
```
data_HoH8Ir2
_cell_length_a 4.445
_cell_length_b 4.445
_cell_length_c 4.633
_cell_angle_alpha 90.00
_cell_angle_beta 90.00
_cell_angle_gamma 90.00
_space_group_name_H-M_alt 'P 4/m m m'
_space_group_IT_number 123
_space_group_name_Hall '-P 4 2'
loop_
_atom_site_label
_atom_site_type_symbol
_atom_site_fract_x
_atom_site_fract_y
_atom_site_fract_z
Ho1 Ho 0.000 0.000 0.000
H1 H 0.280 0.280 0.300
Ir1 Ir 0.000 0.500 0.500
```

Results
M_tot = 0.000 μB per formula unit
VASP energy = -4.563 eV per atom


4.
First-principles (PBE) data for crystalline Li3Th2Ga4 at its relaxed geometry, as listed in the Alexandria database.

Structure (CIF):
```
data_Li3Th2Ga4
_cell_length_a 5.759
_cell_length_b 15.711
_cell_length_c 7.946
_cell_angle_alpha 90.00
_cell_angle_beta 90.00
_cell_angle_gamma 90.00
_space_group_name_H-M_alt 'C m c e'
_space_group_IT_number 64
_space_group_name_Hall '-C 2ac 2'
loop_
_atom_site_label
_atom_site_type_symbol
_atom_site_fract_x
_atom_site_fract_y
_atom_site_fract_z
Li1 Li 0.000 0.000 0.000
Li2 Li 0.250 0.228 0.250
Th1 Th 0.000 0.104 0.600
Ga1 Ga 0.000 0.173 0.990
Ga2 Ga 0.250 0.063 0.250
```

Results
M_tot = 0.000 μB per formula unit
Energy relative to the elements = -0.329 eV per atom
VASP energy = -3.961 eV per atom